The following is a DFT calculation (PBE-GGA) of a geometry-optimized NaPu2GeN4 structure.

Uncorrected energy: -291.52 eV for the cell shown
Crystal system: orthorhombic

Lattice parameters (Å, degrees): 3.4231 12.0831 11.7452 90.00 90.00 90.00
Space group Cmcm (No. 63)
One atom of each set of equivalent atoms:
Na 0.0000 0.0830 0.2500 [4 per cell]
Pu 0.0000 0.3713 0.0409 [8 per cell]
Ge 0.0000 0.1809 0.7500 [4 per cell]
N 0.0000 0.0000 0.0000 [4 per cell]
N 0.0000 0.2542 0.6118 [8 per cell]
N 0.0000 0.4060 0.2500 [4 per cell]

---

The following is a DFT calculation (PBE-GGA) of a geometry-optimized Sc2AsRu2 structure.

Uncorrected energy: -76.90 eV for the cell shown
Crystal system: tetragonal
Calculated formation energy: -0.52 eV/atom

Lattice parameters (Å, degrees): 6.3821 6.3821 4.3116 90.00 90.00 90.00
Space group P4/mbm (No. 127)
One atom of each set of equivalent atoms:
Sc 0.1728 0.3272 0.0000 [4 per cell]
As 0.0000 0.0000 0.5000 [2 per cell]
Ru 0.1432 0.6432 0.5000 [4 per cell]

---

D(E_F) (computed, states/eV per cell): 41.62 7.57